A plane-wave DFT calculation with PBE-GGA was carried out for a geometry-optimized CaTi2IO8 structure.

The value obtained for the uncorrected formation energy is -2043 meV/atom.

The space group is C2/m (No. 12) and the conventional cell measures 7.2951, 6.4354 and 6.6873 Å, with angles of 90.00, 97.10 and 90.00 degrees. Symmetry generates all atoms from Ca at (0.0000, 0.0000, 0.0000), Ti at (0.0487, 0.5000, 0.2243), I at (0.0000, 0.0000, 0.5000), O at (0.0041, 0.2123, 0.7221), O at (0.1724, 0.5000, 0.0077) and O at (0.2280, 0.5000, 0.4617).